No. 1
! NbRhN, relaxed, DFT PBE; values from VASP
! * ΔE_f (raw): -593 meV/atom
! * spin magnetization: 0.00 Bohr magnetons per cell
! * density of states at the Fermi level: 0.710 states/eV/atom
&SYSTEM
  ibrav = 0, nat = 12, ntyp = 3
/
ATOMIC_SPECIES
N 14.01 N.upf
Nb 92.91 Nb.upf
Rh 102.91 Rh.upf
CELL_PARAMETERS angstrom
8.601 0.000 0.000
0.000 5.916 0.000
0.000 0.000 3.038
ATOMIC_POSITIONS crystal
N 0.250 0.750 0.000
Nb 0.713 0.500 0.500
Nb 0.213 0.000 0.500
Nb 0.787 0.000 0.500
N 0.250 0.250 0.000
Nb 0.287 0.500 0.500
N 0.750 0.750 0.000
Rh 0.000 0.260 0.000
Rh 0.500 0.760 0.000
N 0.750 0.250 0.000
Rh 0.500 0.240 0.000
Rh 0.000 0.740 0.000

No. 2
! ZnCdGa3, relaxed, DFT PBE; values from VASP
! * formation energy from the elements: 0.2747 eV per atom
! * spin magnetization: 0.00 Bohr magnetons per cell
! * density of states at the Fermi level: 0.470 states/eV/atom
&SYSTEM
  ibrav = 0, nat = 5, ntyp = 3
/
ATOMIC_SPECIES
Cd 112.41 Cd.upf
Zn 65.41 Zn.upf
Ga 69.72 Ga.upf
CELL_PARAMETERS angstrom
4.896 0.000 0.000
0.000 4.896 0.000
0.000 0.000 4.896
ATOMIC_POSITIONS crystal
Cd 0.500 0.500 0.500
Zn 0.000 0.000 0.000
Ga 0.500 0.000 0.000
Ga 0.000 0.500 0.000
Ga 0.000 0.000 0.500